Density functional theory data (PBE) for a relaxed structure of TbYCd3.

abc: 3.4810 4.9616 14.8754
angles: 90.00 96.72 90.00
Positions (direct):
1 Tb 0.7850 0.2500 0.5699
2 Cd 0.6742 0.2500 0.3484
3 Cd 0.6203 0.7500 0.2406
4 Cd 0.3797 0.2500 0.7594
5 Y 0.9254 0.7500 0.8508
6 Cd 0.4764 0.2500 0.9529
7 Y 0.0746 0.2500 0.1492
8 Tb 0.2150 0.7500 0.4301
9 Cd 0.5236 0.7500 0.0471
10 Cd 0.3258 0.7500 0.6516

Output
As for the density of states at the Fermi level: 0.9291 states/eV per atom. The total DFT energy (no corrections) comes out at -3.07 eV per atom. As for the formation energy: -0.300 eV/atom.

Density functional theory data (PBE) for a relaxed structure of TbY4Cd3.

abc: 5.3572 5.3572 9.5051
angles: 73.63 73.63 60.00
Last column: magnetic moment on the atom in μB.
Positions (direct):
1 Y 0.8698 0.8698 0.3906  0.04
2 Cd 0.2594 0.2594 0.2219  0.00
3 Y 0.3855 0.3855 0.8434  0.08
4 Cd 0.7406 0.7406 0.7781  0.00
5 Y 0.6145 0.6145 0.1566  0.08
6 Cd 0.5000 0.5000 0.5000  0.00
7 Y 0.1302 0.1302 0.6094  0.04
8 Tb 0.0000 0.0000 0.0000  0.23

Output
As for the density of states at the Fermi level: 1.2494 states/eV per atom. The total DFT energy (no corrections) comes out at -4.35 eV per atom. As for the formation energy: -0.191 eV/atom.

Density functional theory data (PBE) for a relaxed structure of Tb5Y2Cd.

abc: 7.0158 7.0155 7.0062
angles: 120.04 120.04 90.01
Positions (direct):
1 Tb 0.7222 0.2220 0.9442
2 Cd 0.2223 0.2223 0.4446
3 Tb 0.2220 0.7222 0.9442
4 Tb 0.2220 0.2220 0.9442
5 Tb 0.7220 0.7220 0.4440
6 Tb 0.7222 0.7222 0.9443
7 Y 0.2222 0.7221 0.4443
8 Y 0.7221 0.2222 0.4443

Output
As for the density of states at the Fermi level: 1.0493 states/eV per atom. The total DFT energy (no corrections) comes out at -4.64 eV per atom. As for the formation energy: -0.020 eV/atom.

Density functional theory data (PBE) for a relaxed structure of Tb2YCd2.

abc: 3.7371 5.3496 13.9221
angles: 90.00 97.73 90.00
Positions (direct):
1 Y 0.1491 0.2500 0.2971
2 Tb 0.0458 0.7500 0.0905
3 Y 0.8509 0.7500 0.7029
4 Cd 0.5523 0.2500 0.1039
5 Cd 0.6406 0.7500 0.2810
6 Tb 0.7648 0.2500 0.5287
7 Cd 0.3594 0.2500 0.7190
8 Cd 0.4477 0.7500 0.8961
9 Tb 0.9542 0.2500 0.9095
10 Tb 0.2352 0.7500 0.4713

Output
As for the density of states at the Fermi level: 1.0006 states/eV per atom. The total DFT energy (no corrections) comes out at -3.78 eV per atom. As for the energy above the most stable polymorph in this dataset: 0 meV/atom. As for the formation energy: -0.270 eV/atom.

Density functional theory data (PBE) for a relaxed structure of Tb2Y6Cd.

abc: 3.6226 9.4586 9.4575
angles: 120.00 90.00 90.00
Positions (direct):
1 Y 0.5000 0.0000 0.6203
2 Y 0.5000 0.3797 0.3797
3 Tb 0.0000 0.6667 0.3334
4 Y 0.5000 0.6202 0.0000
5 Y 0.0000 0.7225 0.7226
6 Tb 0.0000 0.3333 0.6666
7 Y 0.0000 0.9999 0.2774
8 Y 0.0000 0.2776 0.0000
9 Cd 0.5000 0.0002 0.0000

Output
As for the density of states at the Fermi level: 0.9429 states/eV per atom. The total DFT energy (no corrections) comes out at -5.52 eV per atom. As for the energy above the most stable polymorph in this dataset: 0 meV/atom. As for the formation energy: -0.078 eV/atom.

Density functional theory data (PBE) for a relaxed structure of TbY5Cd3.

abc: 6.9634 9.2089 9.2087
angles: 120.00 90.00 90.00
Positions (direct):
1 Cd 0.7500 0.0000 0.6655
2 Y 0.7500 0.0000 0.3325
3 Y 0.0000 0.3333 0.6667
4 Tb 0.0000 0.0000 0.0000
5 Cd 0.2500 0.6655 0.6655
6 Cd 0.2500 0.0000 0.3345
7 Cd 0.7500 0.6655 0.0000
8 Y 0.2500 0.3325 0.3325
9 Tb 0.5000 0.0000 0.0000
10 Cd 0.2500 0.3345 0.0000
11 Y 0.2500 0.0000 0.6675
12 Y 0.0000 0.6667 0.3333
13 Y 0.5000 0.3333 0.6667
14 Y 0.7500 0.6675 0.6675
15 Cd 0.7500 0.3345 0.3345
16 Y 0.5000 0.6667 0.3333
17 Y 0.7500 0.3325 0.0000
18 Y 0.2500 0.6675 0.0000

Output
As for the density of states at the Fermi level: 0.5784 states/eV per atom. The total DFT energy (no corrections) comes out at -4.62 eV per atom. As for the formation energy: -0.209 eV/atom.